[1]
Entry from Alexandria via LeMat-Bulk: an optimized crystal structure of La3BiC (PBE-GGA).

Values from the calculation:
Its symmetry is C2/c.

Cell: 9.3261 9.3261 7.7744 Å, 102.62 102.62 71.13°
With the nearest neighbours (Å) after each atom.
Fractional positions:
La (0.0219, 0.2050, 0.1631)  1 C 2.43
La (0.0332, 0.6123, 0.3902)  1 C 2.39
La (0.2050, 0.0219, 0.6631)  1 C 2.43
La (0.2947, 0.4141, 0.0504)  2 C 2.45-2.64
La (0.3877, 0.9668, 0.1098)  1 C 2.39
La (0.4141, 0.2947, 0.5504)  2 C 2.45-2.64
La (0.5859, 0.7053, 0.4496)  2 C 2.45-2.64
La (0.6123, 0.0332, 0.8902)  1 C 2.39
La (0.7053, 0.5859, 0.9496)  2 C 2.45-2.64
La (0.7950, 0.9781, 0.3369)  1 C 2.43
La (0.9668, 0.3877, 0.6098)  1 C 2.39
La (0.9781, 0.7950, 0.8369)  1 C 2.43
Bi (0.1642, 0.8358, 0.2500)  6 La 3.20-3.43
Bi (0.3396, 0.6604, 0.7500)  6 La 3.34-3.60
Bi (0.6604, 0.3396, 0.2500)  6 La 3.34-3.60
Bi (0.8358, 0.1642, 0.7500)  6 La 3.20-3.43
C (0.1936, 0.3577, 0.3135)  4 La 2.39-2.64
C (0.3577, 0.1936, 0.8135)  4 La 2.39-2.64
C (0.6423, 0.8064, 0.1865)  4 La 2.39-2.64
C (0.8064, 0.6423, 0.6865)  4 La 2.39-2.64

[2]
Entry from Alexandria via LeMat-Bulk: an optimized crystal structure of La3Bi2C (PBE-GGA).

Values from the calculation:
Its symmetry is Immm.

Cell: 9.3929 9.3929 9.3929 Å, 151.39 150.23 41.76°
With the nearest neighbours (Å) after each atom.
Fractional positions:
La (0.0000, 0.0000, 0.0000)  2 C 2.41
La (0.3462, 0.8462, 0.5000)  1 C 2.70
La (0.6538, 0.1538, 0.5000)  1 C 2.70
Bi (0.1507, 0.6507, 0.5000)  7 La 3.35-3.52
Bi (0.8493, 0.3493, 0.5000)  7 La 3.35-3.52
C (0.5000, 0.0000, 0.5000)  4 La 2.41-2.70

[3]
Entry from Alexandria via LeMat-Bulk: an optimized crystal structure of La3BiC (PBE-GGA).

Values from the calculation:
Its symmetry is Cmcm.

Cell: 7.1262 7.1262 7.3816 Å, 90.00 90.00 119.27°
With the nearest neighbours (Å) after each atom.
Fractional positions:
La (0.0000, 0.0000, 0.0000)  2 C 2.49
La (0.0000, 0.0000, 0.5000)  2 C 2.49
La (0.0346, 0.4972, 0.7500)  1 C 2.25
La (0.4972, 0.0346, 0.2500)  1 C 2.25
La (0.5028, 0.9654, 0.7500)  1 C 2.25
La (0.9654, 0.5028, 0.2500)  1 C 2.25
Bi (0.4623, 0.5377, 0.2500)  4 La 3.43-3.71, 2 Bi 3.81
Bi (0.5377, 0.4623, 0.7500)  4 La 3.43-3.71, 2 Bi 3.81
C (0.1355, 0.8645, 0.2500)  4 La 2.25-2.49
C (0.8645, 0.1355, 0.7500)  4 La 2.25-2.49

[4]
Entry from Alexandria via LeMat-Bulk: an optimized crystal structure of La3BiC (PBE-GGA).

Values from the calculation:
Its symmetry is Fd-3m.

Cell: 9.7135 9.7135 9.7135 Å, 60.00 60.00 60.00°
With the nearest neighbours (Å) after each atom.
Fractional positions:
La (0.0748, 0.0748, 0.6752)  2 C 2.64
La (0.0748, 0.6752, 0.0748)  2 C 2.64
La (0.0748, 0.6752, 0.6752)  2 C 2.64
La (0.3248, 0.3248, 0.9252)  2 C 2.64
La (0.3248, 0.9252, 0.3248)  2 C 2.64
La (0.3248, 0.9252, 0.9252)  2 C 2.64
La (0.6752, 0.0748, 0.0748)  2 C 2.64
La (0.6752, 0.0748, 0.6752)  2 C 2.64
La (0.6752, 0.6752, 0.0748)  2 C 2.64
La (0.9252, 0.3248, 0.3248)  2 C 2.64
La (0.9252, 0.3248, 0.9252)  2 C 2.64
La (0.9252, 0.9252, 0.3248)  2 C 2.64
Bi (0.0000, 0.5000, 0.5000)  6 La 3.42
Bi (0.5000, 0.0000, 0.5000)  6 La 3.42
Bi (0.5000, 0.5000, 0.0000)  6 La 3.42
Bi (0.5000, 0.5000, 0.5000)  6 La 3.42
C (0.0000, 0.0000, 0.0000)  6 La 2.64
C (0.0000, 0.0000, 0.5000)  6 La 2.64
C (0.0000, 0.5000, 0.0000)  6 La 2.64
C (0.5000, 0.0000, 0.0000)  6 La 2.64

[5]
Entry from Alexandria via LeMat-Bulk: an optimized crystal structure of La5Bi2C (PBE-GGA).

Values from the calculation:
As for the energy relative to the lowest polymorph listed for this composition: 0 meV per atom. Its symmetry is Pnma.

Cell: 9.2819 7.0866 15.0909 Å, 90.00 90.00 90.00°
With the nearest neighbours (Å) after each atom.
Fractional positions:
La (0.0000, 0.0000, 0.0000)  2 C 2.69
La (0.0000, 0.5000, 0.0000)  2 C 2.69
La (0.0476, 0.2500, 0.2038)  1 C 2.59
La (0.1453, 0.0064, 0.6136)  1 C 2.48
La (0.1453, 0.4936, 0.6136)  1 C 2.48
La (0.2262, 0.7500, 0.3931)  1 C 2.60
La (0.2738, 0.2500, 0.8931)  1 C 2.60
La (0.3547, 0.5064, 0.1136)  1 C 2.48
La (0.3547, 0.9936, 0.1136)  1 C 2.48
La (0.4524, 0.7500, 0.7038)  1 C 2.59
La (0.5000, 0.0000, 0.5000)  2 C 2.69
La (0.5000, 0.5000, 0.5000)  2 C 2.69
La (0.5476, 0.2500, 0.2962)  1 C 2.59
La (0.6453, 0.0064, 0.8864)  1 C 2.48
La (0.6453, 0.4936, 0.8864)  1 C 2.48
La (0.7262, 0.7500, 0.1069)  1 C 2.60
La (0.7738, 0.2500, 0.6069)  1 C 2.60
La (0.8547, 0.5064, 0.3864)  1 C 2.48
La (0.8547, 0.9936, 0.3864)  1 C 2.48
La (0.9524, 0.7500, 0.7962)  1 C 2.59
Bi (0.0539, 0.7500, 0.1989)  8 La 3.34-3.54
Bi (0.1921, 0.2500, 0.4134)  10 La 3.44-3.74
Bi (0.3079, 0.7500, 0.9134)  10 La 3.44-3.74
Bi (0.4461, 0.2500, 0.6989)  8 La 3.34-3.54
Bi (0.5539, 0.7500, 0.3011)  8 La 3.34-3.54
Bi (0.6921, 0.2500, 0.0866)  10 La 3.44-3.74
Bi (0.8079, 0.7500, 0.5866)  10 La 3.44-3.74
Bi (0.9461, 0.2500, 0.8011)  8 La 3.34-3.54
C (0.1960, 0.2500, 0.0587)  6 La 2.48-2.69
C (0.3040, 0.7500, 0.5587)  6 La 2.48-2.69
C (0.6960, 0.2500, 0.4413)  6 La 2.48-2.69
C (0.8040, 0.7500, 0.9413)  6 La 2.48-2.69

[6]
Entry from Alexandria via LeMat-Bulk: an optimized crystal structure of La3BiC (PBE-GGA).

Values from the calculation:
Its symmetry is P4mm.

Cell: 4.5095 4.5095 8.3906 Å, 90.00 90.00 90.00°
With the nearest neighbours (Å) after each atom.
Fractional positions:
La (0.0000, 0.0000, 0.0000)  1 Bi 3.09
La (0.0000, 0.5000, 0.6686)  2 C 2.65
La (0.5000, 0.0000, 0.6686)  2 C 2.65
Bi (0.0000, 0.0000, 0.3683)  5 La 3.09-3.38
C (0.5000, 0.5000, 0.8335)  4 La 2.65

[7]
Entry from Alexandria via LeMat-Bulk: an optimized crystal structure of La2BiC (PBE-GGA).

Values from the calculation:
Its symmetry is Fm-3m.

Cell: 5.3256 5.3256 5.3256 Å, 60.00 60.00 60.00°
With the nearest neighbours (Å) after each atom.
Fractional positions:
La (0.2500, 0.2500, 0.2500)  4 Bi 3.26, 4 C 3.26
La (0.7500, 0.7500, 0.7500)  4 Bi 3.26, 4 C 3.26
Bi (0.0000, 0.0000, 0.0000)  8 La 3.26
C (0.5000, 0.5000, 0.5000)  8 La 3.26

[8]
Entry from Alexandria via LeMat-Bulk: an optimized crystal structure of La3BiC (PBE-GGA).

Values from the calculation:
Its symmetry is P-1.

Cell: 6.3986 6.7867 7.1026 Å, 106.03 92.74 99.53°
With the nearest neighbours (Å) after each atom.
Fractional positions:
La (0.1853, 0.1896, 0.4200)  2 C 2.53-2.58
La (0.2737, 0.6516, 0.2852)  2 C 2.58-2.64
La (0.3034, 0.6954, 0.7838)  2 C 2.59-2.62
La (0.6966, 0.3046, 0.2162)  2 C 2.59-2.62
La (0.7263, 0.3484, 0.7148)  2 C 2.58-2.64
La (0.8147, 0.8104, 0.5800)  2 C 2.53-2.58
Bi (0.2040, 0.2121, 0.9116)  8 La 3.35-3.66
Bi (0.7960, 0.7879, 0.0884)  8 La 3.35-3.66
C (0.0000, 0.5000, 0.5000)  6 La 2.53-2.64
C (0.5000, 0.5000, 0.5000)  6 La 2.58-2.59

[9]
Entry from Alexandria via LeMat-Bulk: an optimized crystal structure of La7Bi3C2 (PBE-GGA).

Values from the calculation:
Its symmetry is Cmmm.

Cell: 13.5299 13.5299 5.0944 Å, 90.00 90.00 157.72°
With the nearest neighbours (Å) after each atom.
Fractional positions:
La (0.0000, 0.0000, 0.0000)  2 C 2.82
La (0.0940, 0.9060, 0.5000)  2 C 2.57
La (0.1966, 0.8034, 0.0000)  1 C 2.40
La (0.4034, 0.5966, 0.0000)  2 C 2.63
La (0.5966, 0.4034, 0.0000)  2 C 2.63
La (0.8034, 0.1966, 0.0000)  1 C 2.40
La (0.9060, 0.0940, 0.5000)  2 C 2.57
Bi (0.3120, 0.6880, 0.5000)  8 La 3.52-3.66
Bi (0.5000, 0.5000, 0.5000)  12 La 3.61-3.65
Bi (0.6880, 0.3120, 0.5000)  8 La 3.52-3.66
C (0.1061, 0.8939, 0.0000)  5 La 2.40-2.63
C (0.8939, 0.1061, 0.0000)  5 La 2.40-2.63

[10]
Entry from Alexandria via LeMat-Bulk: an optimized crystal structure of La3BiC (PBE-GGA).

Values from the calculation:
Its symmetry is Cmcm.

Cell: 9.7060 9.7060 6.3244 Å, 90.00 90.00 140.83°
With the nearest neighbours (Å) after each atom.
Fractional positions:
La (0.0000, 0.0000, 0.0000)  2 La 3.16, 2 Bi 3.38
La (0.0000, 0.0000, 0.5000)  2 La 3.16, 2 Bi 3.38
La (0.0841, 0.4148, 0.2500)  1 C 2.23
La (0.4148, 0.0841, 0.7500)  1 C 2.23
La (0.5852, 0.9159, 0.2500)  1 C 2.23
La (0.9159, 0.5852, 0.7500)  1 C 2.23
Bi (0.1633, 0.8367, 0.2500)  8 La 3.38-3.55
Bi (0.8367, 0.1633, 0.7500)  8 La 3.38-3.55
C (0.4182, 0.5818, 0.2500)  2 La 2.23
C (0.5818, 0.4182, 0.7500)  2 La 2.23

Calculated total energy values, unit eV/atom, following the record order: -5.95, -5.72, -5.69, -5.75, -5.76, -5.30, -5.34, -6.07, -5.98, -5.26.
Formation enthalpy at 0 K values, unit kJ/mol of formula units, following the record order: -179.0, -248.5, -52.3, -81.0, -428.0, 134.0, 154.0, -236.1, -688.5, 153.8.